Pr2Nd4SmIn2 | GGA-PBE | relaxed

```
data_Pr2Nd4SmIn2
_chemical_formula_sum 'Pr2 Nd4 Sm1 In2'
_space_group_name_H-M_alt 'P -1'
_space_group_IT_number 2
_space_group_name_Hall '-P 1'
_cell_length_a 6.4611
_cell_length_b 6.8399
_cell_length_c 8.4196
_cell_angle_alpha 66.94
_cell_angle_beta 79.88
_cell_angle_gamma 62.04
loop_
_atom_site_label
_atom_site_type_symbol
_atom_site_fract_x
_atom_site_fract_y
_atom_site_fract_z
Pr1 Pr 0.1804 0.0187 0.3205
Nd1 Nd 0.3069 0.9682 0.8796
Nd2 Nd 0.4036 0.5207 0.7283
Sm1 Sm 0.0000 0.5000 0.5000
In1 In 0.1361 0.5495 0.0945
```

Calculated values
Calculated density = 6803 kg/m³
Total magnetization = 0.000 μB per atom
Calculated total energy = -4.453 eV per atom
E_form = -120.3 kJ/mol of formula units

***

KGa6Pt3 | GGA-PBE | relaxed

```
data_KGa6Pt3
_chemical_formula_sum 'K1 Ga6 Pt3'
_space_group_name_H-M_alt 'P 1'
_space_group_IT_number 1
_space_group_name_Hall 'P 1'
_cell_length_a 6.2817
_cell_length_b 6.2865
_cell_length_c 6.9666
_cell_angle_alpha 63.20
_cell_angle_beta 89.86
_cell_angle_gamma 60.03
loop_
_atom_site_label
_atom_site_type_symbol
_atom_site_fract_x
_atom_site_fract_y
_atom_site_fract_z
K1 K 0.0000 0.0000 0.0000
Ga1 Ga 0.0964 0.3802 0.1671
Ga2 Ga 0.2438 0.9140 0.5909
Ga3 Ga 0.5038 0.2487 0.5947
Ga4 Ga 0.5221 0.9321 0.1678
Ga5 Ga 0.5468 0.3533 0.1701
Ga6 Ga 0.8455 0.6518 0.5936
Pt1 Pt 0.2753 0.4526 0.8248
Pt2 Pt 0.6281 0.7403 0.8888
Pt3 Pt 0.8001 0.3977 0.4076
```

Calculated values
Calculated density = 8499 kg/m³
Total magnetization = 0.000 μB per atom
Calculated total energy = -4.120 eV per atom
E_form = -368.0 kJ/mol of formula units

***

Nd3Sm6DyHo2 | GGA-PBE | relaxed

```
data_Nd3Sm6DyHo2
_chemical_formula_sum 'Nd6 Sm12 Dy2 Ho4'
_space_group_name_H-M_alt 'C 1 2/m 1'
_space_group_IT_number 12
_space_group_name_Hall '-C 2y'
_cell_length_a 6.2698
_cell_length_b 10.8594
_cell_length_c 11.9821
_cell_angle_alpha 90.00
_cell_angle_beta 100.05
_cell_angle_gamma 90.00
loop_
_atom_site_label
_atom_site_type_symbol
_atom_site_fract_x
_atom_site_fract_y
_atom_site_fract_z
Nd1 Nd 0.0000 0.0000 0.0000
Nd2 Nd 0.0000 0.3332 0.0000
Sm1 Sm 0.2489 0.0000 0.7458
Sm2 Sm 0.2491 0.3333 0.7457
Dy1 Dy 0.0000 0.5000 0.5000
Ho1 Ho 0.0000 0.1666 0.5000
```

Calculated values
Calculated density = 7554 kg/m³
Total magnetization = 0.000 μB per atom
Calculated total energy = -4.682 eV per atom
E_form = 18.8 kJ/mol of formula units